1.
# Tb5Dy2ErSc

A geometry-optimized Tb5Dy2ErSc structure (PBE, the Alexandria database).

Computed properties:
- Formation energy: 0.161 eV per atom
- Spin magnetization: 0.000 μB per cell
- Fermi-level density of states: 14.7 states/eV/f.u.

Cell: 10.3674 10.3674 10.3332 Å, 90.00 90.00 149.16°
Closest atoms and distances in Å follow each position.
Element x y z (fractional)
Tb 0.0166 0.9834 0.5000  2 Er 3.13-3.30, 2 Dy 3.42
Tb 0.1252 0.8748 0.2209  4 Dy 3.52-3.56, 4 Tb 3.58-3.70, 1 Sc 3.61
Tb 0.1999 0.8001 0.5361  1 Er 3.33, 4 Tb 3.35-3.68, 2 Sc 3.38, 3 Dy 3.45-3.72
Tb 0.2255 0.7745 0.9204  1 Er 3.01, 1 Dy 3.26, 2 Tb 3.35
Tb 0.4833 0.5167 0.2263  2 Er 3.20, 3 Dy 3.32-3.49, 1 Sc 3.55
Tb 0.5167 0.4833 0.7263  2 Er 3.20, 3 Dy 3.32-3.49, 1 Sc 3.55
Tb 0.7745 0.2255 0.4204  1 Er 3.01, 1 Dy 3.26, 2 Tb 3.35
Tb 0.8001 0.1999 0.0361  1 Er 3.33, 4 Tb 3.35-3.68, 2 Sc 3.38, 3 Dy 3.45-3.72
Tb 0.8748 0.1252 0.7209  4 Dy 3.52-3.56, 4 Tb 3.58-3.70, 1 Sc 3.61
Tb 0.9834 0.0166 0.0000  2 Er 3.13-3.30, 2 Dy 3.42
Dy 0.3855 0.6145 0.5039  1 Sc 3.29, 6 Tb 3.47-3.64, 2 Er 3.60
Dy 0.3885 0.6115 0.9308  9 Tb 3.26-3.59, 1 Sc 3.47
Dy 0.6115 0.3885 0.4308  9 Tb 3.26-3.59, 1 Sc 3.47
Dy 0.6145 0.3855 0.0039  1 Sc 3.29, 6 Tb 3.47-3.64, 2 Er 3.60
Er 0.0929 0.9071 0.7830  6 Tb 3.01-3.33
Er 0.9071 0.0929 0.2830  6 Tb 3.01-3.33
Sc 0.3056 0.6944 0.2259  2 Dy 3.29-3.47, 7 Tb 3.38-3.61, 2 Er 3.47
Sc 0.6944 0.3056 0.7259  2 Dy 3.29-3.47, 7 Tb 3.38-3.61, 2 Er 3.47

***

2.
# CaPuBi6

A geometry-optimized CaPuBi6 structure (PBE, the Alexandria database).

Computed properties:
- Formation energy: -0.319 eV per atom
- Spin magnetization: 5.719 μB per cell
- Fermi-level density of states: 12.1 states/eV/f.u.

Cell: 4.9585 4.9585 9.9724 Å, 90.00 90.00 90.00°
Closest atoms and distances in Å follow each position.
Element x y z (fractional)
Ca 0.0000 0.0000 0.0000  12 Bi 3.51-3.54
Pu 0.0000 0.0000 0.5000  12 Bi 3.49-3.51
Bi 0.0000 0.5000 0.2535  8 Bi 3.49-3.54, 2 Pu 3.49, 2 Ca 3.54
Bi 0.0000 0.5000 0.7465  8 Bi 3.49-3.54, 2 Pu 3.49, 2 Ca 3.54
Bi 0.5000 0.0000 0.2535  8 Bi 3.49-3.54, 2 Pu 3.49, 2 Ca 3.54
Bi 0.5000 0.0000 0.7465  8 Bi 3.49-3.54, 2 Pu 3.49, 2 Ca 3.54
Bi 0.5000 0.5000 0.0000  4 Ca 3.51, 8 Bi 3.54
Bi 0.5000 0.5000 0.5000  8 Bi 3.49, 4 Pu 3.51

***

3.
# Mg2B10Ru

A geometry-optimized Mg2B10Ru structure (PBE, the Alexandria database).

Computed properties:
- Formation energy: 0.018 eV per atom
- Spin magnetization: 0.000 μB per cell
- Fermi-level density of states: 3.0 states/eV/f.u.

Cell: 5.6215 11.4497 4.1819 Å, 90.00 90.00 90.00°
Closest atoms and distances in Å follow each position.
Element x y z (fractional)
Mg 0.2334 0.1164 0.0000  10 B 2.70-3.02, 2 Ru 2.81
Mg 0.2666 0.6164 0.0000  10 B 2.70-3.02, 2 Ru 2.81
Mg 0.7334 0.3836 0.0000  10 B 2.70-3.02, 2 Ru 2.81
Mg 0.7666 0.8836 0.0000  10 B 2.70-3.02, 2 Ru 2.81
B 0.0509 0.8090 0.5000  4 B 1.65-1.78
B 0.1129 0.4535 0.5000  4 B 1.66-1.79
B 0.1407 0.3007 0.5000  5 B 1.65-1.76
B 0.2230 0.8782 0.1966  4 B 1.64-1.79
B 0.2230 0.8782 0.8034  4 B 1.64-1.79
B 0.2770 0.3782 0.1966  4 B 1.64-1.79
B 0.2770 0.3782 0.8034  4 B 1.64-1.79
B 0.3593 0.8007 0.5000  5 B 1.65-1.76
B 0.3871 0.9535 0.5000  4 B 1.66-1.79
B 0.4491 0.3090 0.5000  4 B 1.65-1.78
B 0.5509 0.6910 0.5000  4 B 1.65-1.78
B 0.6129 0.0465 0.5000  4 B 1.66-1.79
B 0.6407 0.1993 0.5000  5 B 1.65-1.76
B 0.7230 0.6218 0.1966  4 B 1.64-1.79
B 0.7230 0.6218 0.8034  4 B 1.64-1.79
B 0.7770 0.1218 0.1966  4 B 1.64-1.79
B 0.7770 0.1218 0.8034  4 B 1.64-1.79
B 0.8593 0.6993 0.5000  5 B 1.65-1.76
B 0.8871 0.5465 0.5000  4 B 1.66-1.79
B 0.9491 0.1910 0.5000  4 B 1.65-1.78
Ru 0.0000 0.0000 0.5000  8 B 2.21-2.26
Ru 0.5000 0.5000 0.5000  8 B 2.21-2.26

***

4.
# YSbTe2I

A geometry-optimized YSbTe2I structure (PBE, the Alexandria database).

Computed properties:
- Energy above the lowest structure with this stoichiometry: 0.663 eV/atom
- Spin magnetization: 0.000 μB per cell
- Fermi-level density of states: 5.5 states/eV/f.u.
- Uncorrected formation energy: 0.5116 eV/atom

Cell: 5.7195 5.7195 5.7368 Å, 90.00 90.00 90.00°
Closest atoms and distances in Å follow each position.
Element x y z (fractional)
Y 0.0000 0.0000 0.0000  4 Sb 4.04, 8 Te 4.05
Sb 0.5000 0.5000 0.0000  2 I 2.87
Te 0.0000 0.5000 0.5000  2 I 2.86
Te 0.5000 0.0000 0.5000  2 I 2.86
I 0.5000 0.5000 0.5000  4 Te 2.86, 2 Sb 2.87

***

5.
# SnCSCl2

A geometry-optimized SnCSCl2 structure (PBE, the Alexandria database).

Computed properties:
- Energy above the lowest structure with this stoichiometry: 0.000 eV/atom
- Spin magnetization: 0.000 μB per cell
- Fermi-level density of states: 1.2 states/eV/f.u.
- Uncorrected formation energy: 0.6722 eV/atom

Cell: 4.6453 4.6453 4.2641 Å, 90.00 90.00 90.00°
Closest atoms and distances in Å follow each position.
Element x y z (fractional)
Sn 0.0000 0.0000 0.0000  8 Cl 3.15, 4 S 3.28
C 0.5000 0.5000 0.5000  2 S 2.13, 4 Cl 2.32
S 0.5000 0.5000 0.0000  2 C 2.13
Cl 0.0000 0.5000 0.5000  2 C 2.32
Cl 0.5000 0.0000 0.5000  2 C 2.32

***

6.
# Sr3Dy4Se8

A geometry-optimized Sr3Dy4Se8 structure (PBE, the Alexandria database).

Computed properties:
- Spin magnetization: 0.000 μB per cell
- Fermi-level density of states: 4.2 states/eV/f.u.
- Uncorrected formation energy: -1.8882 eV/atom

Cell: 8.4350 8.4350 8.3518 Å, 119.46 119.46 90.19°
Closest atoms and distances in Å follow each position.
Element x y z (fractional)
Sr 0.0000 0.0000 0.0000  6 Se 3.07-3.09
Sr 0.0000 0.5000 0.0000  6 Se 2.98-3.00
Sr 0.5000 0.0000 0.0000  6 Se 2.98-3.00
Dy 0.0000 0.5000 0.5000  6 Se 2.98-3.00
Dy 0.5000 0.0000 0.5000  6 Se 2.98-3.00
Dy 0.5000 0.5000 0.0000  6 Se 2.87-2.91
Dy 0.5000 0.5000 0.5000  6 Se 2.87-2.93
Se 0.2563 0.7437 0.5000  3 Dy 2.91-2.98, 2 Sr 3.00
Se 0.2568 0.7432 0.0000  3 Dy 2.91-3.00, 3 Sr 2.98-3.07
Se 0.2607 0.2607 0.5142  4 Dy 2.91-2.99, 1 Sr 3.08
Se 0.2695 0.2695 0.0204  2 Dy 2.87, 3 Sr 2.99-3.09
Se 0.7305 0.7305 0.9796  2 Dy 2.87, 3 Sr 2.99-3.09
Se 0.7393 0.7393 0.4858  4 Dy 2.91-2.99, 1 Sr 3.08
Se 0.7432 0.2568 0.0000  3 Dy 2.91-3.00, 3 Sr 2.98-3.07
Se 0.7437 0.2563 0.5000  3 Dy 2.91-2.98, 2 Sr 3.00